Pa2SI2 | GGA-PBE | optimized geometry

Results
Total energy in eV per atom: -6.369
Formation energy from raw total energies in eV/f.u.: -5.6

abc: 4.0764 4.0760 11.7248
angles: 81.16 79.99 60.00
Element x y z (fractional)
I (0.4453, 0.9103, 0.1991)
Pa (0.7095, 0.1961, 0.3850)
I (0.5547, 0.0897, 0.8009)
S (0.0000, 0.5000, 0.5000)
Pa (0.2905, 0.8039, 0.6150)

PaSI | GGA-PBE | optimized geometry

Results
Total energy in eV per atom: -6.180
Formation energy from raw total energies in eV/f.u.: -3.4
Excess energy over the best structure of this formula in the dataset in meV per atom: 164

abc: 3.6092 3.6092 7.2991
angles: 104.31 104.31 90.00
Element x y z (fractional)
I (0.0329, 0.0329, 0.0658)
S (0.2774, 0.2774, 0.5548)
Pa (0.6897, 0.6897, 0.3794)